# 1
This record from Alexandria via LeMat-Bulk describes a geometry-optimized HoCoAgSn structure. The functional is PBE-GGA.

Output
Its formation energy is -199 meV/atom. The calculation puts the density at 9.802 g/cm3. For the magnetization, the calculation gives 0.292 μB per atom.

Cell lengths 4.761, 4.761, 4.761 Å; angles 60.00, 60.00, 60.00 degrees
Site moments in Bohr magnetons follow the coordinates.
Element x y z (fractional)
Co 0.000 0.000 0.000  1.13
Ag 0.500 0.500 0.500  0.03
Sn 0.250 0.250 0.250  0.03
Ho 0.750 0.750 0.750  -0.04

---

# 2
This record from Alexandria via LeMat-Bulk describes a geometry-optimized La2SmAgS5 structure. The functional is PBE-GGA.

Output
The calculation puts the density at 5.475 g/cm3. The formation energy from raw total energies is -1.77 eV per atom. For the magnetization, the calculation gives 0.000 μB per atom.

Cell lengths 4.068, 8.663, 12.333 Å; angles 90.00, 90.00, 103.58 degrees
Element x y z (fractional)
Ag 0.478 0.955 0.473
Ag 0.522 0.045 0.973
La 0.876 0.752 0.803
La 0.124 0.248 0.303
La 0.114 0.227 0.683
La 0.886 0.773 0.183
Sm 0.808 0.617 0.502
Sm 0.192 0.383 0.002
S 0.643 0.286 0.500
S 0.695 0.390 0.842
S 0.956 0.913 0.583
S 0.709 0.417 0.161
S 0.357 0.714 0.000
S 0.501 0.001 0.776
S 0.305 0.610 0.342
S 0.291 0.583 0.661
S 0.499 0.999 0.276
S 0.044 0.087 0.083

---

# 3
This record from Alexandria via LeMat-Bulk describes a geometry-optimized BaYRh2 structure. The functional is PBE-GGA.

Output
Its formation energy is -312 meV/atom. The calculation puts the density at 6.736 g/cm3. For the magnetization, the calculation gives 0.000 μB per atom.

Cell lengths 4.334, 4.184, 6.234 Å; angles 70.39, 90.00, 90.00 degrees
Element x y z (fractional)
Y 0.000 0.506 0.363
Rh 0.500 0.048 0.279
Rh 0.000 0.167 0.041
Ba 0.500 0.779 0.817

---

# 4
This record from Alexandria via LeMat-Bulk describes a geometry-optimized VCo2AsC structure. The functional is PBE-GGA.

Output
Its formation energy is 1365 meV/atom. The calculation puts the density at 5.938 g/cm3. For the magnetization, the calculation gives 0.065 μB per atom.

Cell lengths 4.319, 3.834, 4.319 Å; angles 90.00, 90.00, 90.00 degrees
Site moments in Bohr magnetons follow the coordinates.
Element x y z (fractional)
Co 0.500 0.000 0.000  0.16
Co 0.000 0.000 0.500  0.28
C 0.000 0.500 0.000  0.02
V 0.000 0.000 0.000  -0.11
As 0.500 0.500 0.500  -0.02

---

# 5
This record from Alexandria via LeMat-Bulk describes a geometry-optimized HoTmInPb structure. The functional is PBE-GGA.

Output
Its formation energy is -368 meV/atom. The energy relative to the lowest polymorph listed for this composition comes out at 44 meV/atom. The calculation puts the density at 10.022 g/cm3. For the magnetization, the calculation gives 0.000 μB per atom.

Cell lengths 5.356, 5.356, 5.356 Å; angles 60.00, 60.00, 60.00 degrees
Element x y z (fractional)
Ho 0.000 0.000 0.000
Tm 0.500 0.500 0.500
In 0.250 0.250 0.250
Pb 0.750 0.750 0.750

---

# 6
This record from Alexandria via LeMat-Bulk describes a geometry-optimized Al2CdSnSe structure. The functional is PBE-GGA.

Output
The calculation puts the density at 4.238 g/cm3. The formation energy from raw total energies is 0.48 eV per atom. For the magnetization, the calculation gives 0.000 μB per atom.

Cell lengths 5.028, 5.642, 5.028 Å; angles 90.00, 90.00, 90.00 degrees
Element x y z (fractional)
Sn 0.000 0.500 0.000
Se 0.000 0.000 0.000
Al 0.500 0.000 0.000
Al 0.000 0.000 0.500
Cd 0.500 0.500 0.500

---

Which of these has the highest density? HoTmInPb